First-principles (meta-GGA SCAN) data for Na2Re2C at its PBEsol-relaxed geometry, as listed in Alexandria.

**VASP energy**: -30.56 eV/atom
**Space-group type**: No. 139
**Energy of formation**: 7.9 eV/f.u.

Unit cell a=8.9845 b=8.9845 c=8.9845 alpha=158.01 beta=158.01 gamma=31.30
With the nearest neighbours (Å) after each atom.
Sites, in units of the cell vectors:
Na  0.0846  0.0846  0.0000  4 C 2.83, 1 Na 2.93
Na  0.9154  0.9154  0.0000  4 C 2.83, 1 Na 2.93
Re  0.2500  0.7500  0.5000  4 Re 2.42
Re  0.7500  0.2500  0.5000  4 Re 2.42
C  0.5000  0.5000  0.0000  8 Na 2.83